The following is a DFT calculation (SCAN) of YAsBr2 at its PBEsol-relaxed geometry.

Structure (CIF):
```
data_YAsBr2
_cell_length_a 5.757
_cell_length_b 7.385
_cell_length_c 7.385
_cell_angle_alpha 81.26
_cell_angle_beta 67.06
_cell_angle_gamma 67.06
_space_group_name_H-M_alt 'P 1'
_space_group_IT_number 1
loop_
_space_group_symop_operation_xyz
'x,y,z'
loop_
_atom_site_label
_atom_site_fract_x
_atom_site_fract_y
_atom_site_fract_z
Y1 0.750 0.500 0.500
Y2 0.000 0.000 0.000
As1 0.250 0.500 0.500
As2 0.500 0.000 0.000
Br1 0.003 0.122 0.622
Br2 0.747 0.878 0.378
Br3 0.375 0.622 0.878
Br4 0.875 0.378 0.122
```

Summary:
symmetry = I-42d, No. 122
uncorrected energy = -22.7769 eV/atom